# 1
# Cs3K12F5, optimized geometry, DFT GGA-PBE
data_Cs3K12F5
_cell_length_a 17.461
_cell_length_b 17.461
_cell_length_c 17.461
_cell_angle_alpha 109.47
_cell_angle_beta 109.47
_cell_angle_gamma 109.47
_space_group_name_H-M_alt 'P 1'
_space_group_IT_number 1
_space_group_name_Hall 'P 1'
loop_
_atom_site_label
_atom_site_type_symbol
_atom_site_fract_x
_atom_site_fract_y
_atom_site_fract_z
Cs1 Cs 0.125 0.250 0.375
Cs2 Cs 0.125 0.375 0.750
Cs3 Cs 0.250 0.375 0.125
Cs4 Cs 0.250 0.875 0.625
Cs5 Cs 0.375 0.125 0.250
Cs6 Cs 0.375 0.750 0.125
Cs7 Cs 0.625 0.250 0.875
Cs8 Cs 0.625 0.875 0.750
Cs9 Cs 0.750 0.125 0.375
Cs10 Cs 0.750 0.625 0.875
Cs11 Cs 0.875 0.625 0.250
Cs12 Cs 0.875 0.750 0.625
K1 K 0.033 0.701 0.118
K2 K 0.033 0.832 0.915
K3 K 0.082 0.668 0.701
K4 K 0.082 0.915 0.382
K5 K 0.085 0.618 0.918
K6 K 0.085 0.967 0.168
K7 K 0.118 0.033 0.701
K8 K 0.118 0.585 0.418
K9 K 0.168 0.085 0.967
K10 K 0.168 0.582 0.201
K11 K 0.201 0.168 0.582
K12 K 0.201 0.533 0.618
K13 K 0.299 0.882 0.967
K14 K 0.299 0.918 0.332
K15 K 0.332 0.299 0.918
K16 K 0.332 0.533 0.415
K17 K 0.382 0.082 0.915
K18 K 0.382 0.799 0.467
K19 K 0.415 0.332 0.533
K20 K 0.415 0.582 0.882
K21 K 0.418 0.118 0.585
K22 K 0.418 0.799 0.832
K23 K 0.467 0.382 0.799
K24 K 0.467 0.585 0.668
K25 K 0.533 0.415 0.332
K26 K 0.533 0.618 0.201
K27 K 0.582 0.201 0.168
K28 K 0.582 0.882 0.415
K29 K 0.585 0.418 0.118
K30 K 0.585 0.668 0.467
K31 K 0.618 0.201 0.533
K32 K 0.618 0.918 0.085
K33 K 0.668 0.467 0.585
K34 K 0.668 0.701 0.082
K35 K 0.701 0.082 0.668
K36 K 0.701 0.118 0.033
K37 K 0.799 0.467 0.382
K38 K 0.799 0.832 0.418
K39 K 0.832 0.418 0.799
K40 K 0.832 0.915 0.033
K41 K 0.882 0.415 0.582
K42 K 0.882 0.967 0.299
K43 K 0.915 0.033 0.832
K44 K 0.915 0.382 0.082
K45 K 0.918 0.085 0.618
K46 K 0.918 0.332 0.299
K47 K 0.967 0.168 0.085
K48 K 0.967 0.299 0.882
F1 F 0.000 0.000 0.000
F2 F 0.000 0.000 0.500
F3 F 0.000 0.500 0.000
F4 F 0.000 0.500 0.500
F5 F 0.125 0.750 0.875
F6 F 0.125 0.875 0.250
F7 F 0.250 0.125 0.875
F8 F 0.250 0.625 0.375
F9 F 0.375 0.250 0.625
F10 F 0.375 0.625 0.750
F11 F 0.500 0.000 0.000
F12 F 0.500 0.000 0.500
F13 F 0.500 0.500 0.000
F14 F 0.500 0.500 0.500
F15 F 0.625 0.375 0.250
F16 F 0.625 0.750 0.375
F17 F 0.750 0.375 0.625
F18 F 0.750 0.875 0.125
F19 F 0.875 0.125 0.750
F20 F 0.875 0.250 0.125
# - final energy (eV for the cell shown) = -192.9
# - calculated volume (Å³ per atom) = 51.22
# - magnetization (Bohr magnetons per cell) = 0.00
# - energy relative to the elements, uncorrected (eV per atom) = -1.157

***

# 2
# CsKF, optimized geometry, DFT GGA-PBE
data_CsKF
_cell_length_a 5.165
_cell_length_b 5.165
_cell_length_c 12.241
_cell_angle_alpha 102.27
_cell_angle_beta 102.27
_cell_angle_gamma 59.85
_space_group_name_H-M_alt 'P 1'
_space_group_IT_number 1
_space_group_name_Hall 'P 1'
loop_
_atom_site_label
_atom_site_type_symbol
_atom_site_fract_x
_atom_site_fract_y
_atom_site_fract_z
Cs1 Cs 0.126 0.126 0.379
Cs2 Cs 0.874 0.874 0.621
K1 K 0.288 0.288 0.863
K2 K 0.712 0.712 0.137
F1 F 0.212 0.212 0.635
F2 F 0.788 0.788 0.365
# - final energy (eV for the cell shown) = -17.9
# - calculated volume (Å³ per atom) = 45.62
# - magnetization (Bohr magnetons per cell) = 0.00
# - energy relative to the elements, uncorrected (eV per atom) = -1.709

***

# 3
# CsKF, optimized geometry, DFT GGA-PBE
data_CsKF
_cell_length_a 8.593
_cell_length_b 8.593
_cell_length_c 8.593
_cell_angle_alpha 152.01
_cell_angle_beta 152.01
_cell_angle_gamma 40.00
_space_group_name_H-M_alt 'P 1'
_space_group_IT_number 1
_space_group_name_Hall 'P 1'
loop_
_atom_site_label
_atom_site_type_symbol
_atom_site_fract_x
_atom_site_fract_y
_atom_site_fract_z
Cs1 Cs 0.000 0.000 0.000
K1 K 0.292 0.292 0.000
F1 F 0.450 0.450 0.000
# - final energy (eV for the cell shown) = -8.9
# - calculated volume (Å³ per atom) = 46.51
# - magnetization (Bohr magnetons per cell) = 0.00
# - energy relative to the elements, uncorrected (eV per atom) = -1.704

***

# 4
# Cs4K2F, optimized geometry, DFT GGA-PBE
data_Cs4K2F
_cell_length_a 13.399
_cell_length_b 13.399
_cell_length_c 13.399
_cell_angle_alpha 152.61
_cell_angle_beta 152.61
_cell_angle_gamma 39.12
_space_group_name_H-M_alt 'P 1'
_space_group_IT_number 1
_space_group_name_Hall 'P 1'
loop_
_atom_site_label
_atom_site_type_symbol
_atom_site_fract_x
_atom_site_fract_y
_atom_site_fract_z
Cs1 Cs 0.000 0.500 0.500
Cs2 Cs 0.125 0.125 0.000
Cs3 Cs 0.500 0.000 0.500
Cs4 Cs 0.875 0.875 0.000
K1 K 0.312 0.312 0.000
K2 K 0.688 0.688 0.000
F1 F 0.000 0.000 0.000
# - final energy (eV for the cell shown) = -12.3
# - calculated volume (Å³ per atom) = 72.57
# - magnetization (Bohr magnetons per cell) = 0.00
# - energy relative to the elements, uncorrected (eV per atom) = -0.687

***

# 5
# Cs2KF2, optimized geometry, DFT GGA-PBE
data_Cs2KF2
_cell_length_a 9.142
_cell_length_b 9.142
_cell_length_c 9.142
_cell_angle_alpha 145.92
_cell_angle_beta 145.92
_cell_angle_gamma 48.97
_space_group_name_H-M_alt 'P 1'
_space_group_IT_number 1
_space_group_name_Hall 'P 1'
loop_
_atom_site_label
_atom_site_type_symbol
_atom_site_fract_x
_atom_site_fract_y
_atom_site_fract_z
Cs1 Cs 0.189 0.189 0.000
Cs2 Cs 0.811 0.811 0.000
K1 K 0.500 0.500 0.000
F1 F 0.250 0.750 0.500
F2 F 0.750 0.250 0.500
# - final energy (eV for the cell shown) = -16.3
# - calculated volume (Å³ per atom) = 47.77
# - magnetization (Bohr magnetons per cell) = 0.00
# - energy relative to the elements, uncorrected (eV per atom) = -1.958

***

# 6
# Cs4KF2, optimized geometry, DFT GGA-PBE
data_Cs4KF2
_cell_length_a 10.765
_cell_length_b 10.765
_cell_length_c 10.765
_cell_angle_alpha 138.49
_cell_angle_beta 138.49
_cell_angle_gamma 60.15
_space_group_name_H-M_alt 'P 1'
_space_group_IT_number 1
_space_group_name_Hall 'P 1'
loop_
_atom_site_label
_atom_site_type_symbol
_atom_site_fract_x
_atom_site_fract_y
_atom_site_fract_z
Cs1 Cs 0.000 0.500 0.500
Cs2 Cs 0.225 0.225 0.000
Cs3 Cs 0.500 0.000 0.500
Cs4 Cs 0.775 0.775 0.000
K1 K 0.500 0.500 0.000
F1 F 0.090 0.090 0.000
F2 F 0.910 0.910 0.000
# - final energy (eV for the cell shown) = -15.8
# - calculated volume (Å³ per atom) = 77.45
# - magnetization (Bohr magnetons per cell) = 0.00
# - energy relative to the elements, uncorrected (eV per atom) = -1.076